[1]
Entry from Alexandria: a relaxed structure of Ac2AlZn4Hg3 (PBE).

```
Ac2AlZn4Hg3
1.0
-1.555 0.176 4.366
3.404 -2.858 1.327
6.442 8.577 1.948
Hg Ac Zn Al
3 2 4 1
direct
0.500 0.000 0.869
0.000 0.000 0.500
0.000 0.500 0.131
0.000 0.500 0.751
0.500 0.000 0.249
0.500 0.000 0.627
0.000 0.500 0.373
0.000 0.000 0.000
0.500 0.500 0.000
0.500 0.500 0.500
```

Summary:
The value obtained for the calculated volume is 234.5 Å³/cell. For the formation energy from the elements, the calculation gives -0.305 eV per atom. The value obtained for the calculated total energy is -21.01 eV for the cell shown. As for the space-group type: P-4m2, No. 115.

[2]
Entry from Alexandria: a relaxed structure of AcAl2ZnHg (PBE).

```
AcAl2ZnHg
1.0
-1.939 -0.286 4.113
-2.434 -3.590 -1.397
6.221 -1.446 0.309
Ac Zn Al Hg
1 1 2 1
direct
0.000 0.000 0.000
0.750 0.250 0.500
0.382 0.382 0.764
0.618 0.618 0.236
0.250 0.750 0.500
```

Summary:
The value obtained for the calculated volume is 114.7 Å³/cell. For the formation energy from the elements, the calculation gives -0.363 eV per atom. The value obtained for the calculated total energy is -14.98 eV for the cell shown. As for the space-group type: I-4m2, No. 119.

[3]
Entry from Alexandria: a relaxed structure of Ac3AlZn2Hg6 (PBE).

```
Ac3AlZn2Hg6
1.0
-1.409 -0.190 6.489
6.326 0.108 -2.024
-0.074 8.969 0.246
Ac Zn Hg Al
3 2 6 1
direct
0.667 0.333 0.363
0.000 0.000 0.000
0.333 0.667 0.637
0.333 0.667 0.022
0.667 0.333 0.978
0.642 0.821 0.287
0.179 0.821 0.287
0.179 0.358 0.287
0.821 0.179 0.713
0.821 0.642 0.713
0.358 0.179 0.713
0.000 0.000 0.500
```

Summary:
The value obtained for the calculated volume is 342.9 Å³/cell. For the formation energy from the elements, the calculation gives -0.187 eV per atom. The value obtained for the calculated total energy is -22.67 eV for the cell shown. As for the space-group type: P-3m1, No. 164.

[4]
Entry from Alexandria: a relaxed structure of Ac2AlZnHg6 (PBE).

```
Ac2AlZnHg6
1.0
-5.508 1.993 -4.665
5.087 -2.526 -4.876
0.205 -5.770 -4.401
Hg Ac Zn Al
6 2 1 1
direct
0.775 0.278 0.999
0.403 0.263 0.832
0.597 0.737 0.168
0.802 0.805 0.503
0.225 0.722 0.001
0.198 0.195 0.497
0.238 0.742 0.509
0.762 0.258 0.491
0.500 0.500 0.000
0.000 0.000 0.000
```

Summary:
The value obtained for the calculated volume is 270.8 Å³/cell. For the formation energy from the elements, the calculation gives -0.228 eV per atom. The value obtained for the calculated total energy is -17.33 eV for the cell shown. As for the space-group type: P-1, No. 2.

[5]
Entry from Alexandria: a relaxed structure of AcAlZnHg2 (PBE).

```
AcAlZnHg2
1.0
-4.064 -1.133 1.824
1.423 -4.345 0.470
3.335 3.967 4.104
Zn Hg Ac Al
1 2 1 1
direct
0.250 0.750 0.500
0.375 0.375 0.751
0.625 0.625 0.249
0.000 0.000 0.000
0.750 0.250 0.500
```

Summary:
The value obtained for the calculated volume is 121.6 Å³/cell. For the formation energy from the elements, the calculation gives -0.316 eV per atom. The value obtained for the calculated total energy is -11.31 eV for the cell shown. As for the space-group type: I-4m2, No. 119.

[6]
Entry from Alexandria: a relaxed structure of Ac2Al4ZnHg3 (PBE).

```
Ac2Al4ZnHg3
1.0
4.582 0.000 0.000
0.000 4.582 0.000
0.000 0.000 11.184
Hg Ac Al Zn
3 2 4 1
direct
0.000 0.500 0.135
0.500 0.000 0.865
0.000 0.000 0.500
0.000 0.500 0.743
0.500 0.000 0.257
0.000 0.500 0.373
0.500 0.500 0.000
0.000 0.000 0.000
0.500 0.000 0.627
0.500 0.500 0.500
```

Summary:
The value obtained for the calculated volume is 234.8 Å³/cell. For the formation energy from the elements, the calculation gives -0.367 eV per atom. The value obtained for the calculated total energy is -29.04 eV for the cell shown. As for the space-group type: P-4m2, No. 115.